First-principles (PBE) data for an optimized crystal structure of Lu3Hg, as listed in the Alexandria database.

CIF file:
```
data_Lu3Hg
_chemical_formula_sum 'Lu12 Hg4'
_space_group_name_H-M_alt 'F m -3 m'
_space_group_IT_number 225
_space_group_name_Hall '-F 4 2 3'
_cell_length_a 7.4984
_cell_length_b 7.4984
_cell_length_c 7.4984
_cell_angle_alpha 90.00
_cell_angle_beta 90.00
_cell_angle_gamma 90.00
loop_
_atom_site_label
_atom_site_fract_x
_atom_site_fract_y
_atom_site_fract_z
Lu1 0.0000 0.0000 0.0000
Lu2 0.2500 0.2500 0.2500
Hg1 0.0000 0.0000 0.5000
```

For the formation energy, the calculation gives -11 kJ/mol of formula units. The energy above the lowest structure with this stoichiometry comes out at 194 meV/atom.